[1]
This record from Alexandria describes a relaxed structure of KSrLi. The functional is PBE.

Summary:
Its space group is Cmcm. Its energy relative to the elements is 54.9 meV per atom. The energy above the most stable polymorph in this dataset is 0.00 eV/f.u. The crystal system is orthorhombic.

a b c (Å): 12.771 12.771 4.875
angles (deg): 90.00 90.00 157.92
Fractional coordinates of all 6 atoms:
K: 0.191 0.809 0.750
K: 0.809 0.191 0.250
Sr: 0.428 0.572 0.750
Sr: 0.572 0.428 0.250
Li: 0.035 0.965 0.750
Li: 0.965 0.035 0.250

***

[2]
This record from Alexandria describes a relaxed structure of BaAl2Te4. The functional is PBE.

Summary:
The calculation puts the uncorrected formation energy at -0.89 eV/atom. Its space group is I422. The energy above the most stable polymorph in this dataset is 0.06 eV/f.u. The crystal system is tetragonal.

a b c (Å): 7.018 7.018 7.018
angles (deg): 103.36 103.36 122.55
Fractional coordinates of all 7 atoms:
Ba: 0.000 0.000 0.000
Al: 0.000 0.500 0.500
Al: 0.500 0.000 0.500
Te: 0.083 0.583 0.167
Te: 0.417 0.917 0.833
Te: 0.583 0.417 0.500
Te: 0.917 0.083 0.500

***

[3]
This record from Alexandria describes a relaxed structure of CsNaSi3. The functional is PBE.

Summary:
The calculation puts the uncorrected formation energy at 1.19 eV/atom. Its space group is Pm-3m. The energy above the most stable polymorph in this dataset is 0.00 eV/f.u. The crystal system is cubic.

a b c (Å): 5.339 5.339 5.339
angles (deg): 90.00 90.00 90.00
Fractional coordinates of all 5 atoms:
Cs: 0.000 0.000 0.000
Na: 0.500 0.500 0.500
Si: 0.000 0.500 0.500
Si: 0.500 0.000 0.500
Si: 0.500 0.500 0.000

***

[4]
This record from Alexandria describes a relaxed structure of YNi6Ge4. The functional is PBE.

Summary:
Its space group is P-6m2. Its energy relative to the elements is -492.9 meV per atom. The crystal system is hexagonal.

a b c (Å): 6.825 6.825 3.779
angles (deg): 90.00 90.00 120.00
Fractional coordinates of all 11 atoms:
Y: 0.000 0.000 0.000
Ni: 0.074 0.537 0.000
Ni: 0.411 0.206 0.500
Ni: 0.463 0.537 0.000
Ni: 0.463 0.926 0.000
Ni: 0.794 0.206 0.500
Ni: 0.794 0.589 0.500
Ge: 0.192 0.384 0.500
Ge: 0.192 0.808 0.500
Ge: 0.616 0.808 0.500
Ge: 0.667 0.333 0.000

***

[5]
This record from Alexandria describes a relaxed structure of Cr2TeRu. The functional is PBE.

Summary:
The calculation puts the uncorrected formation energy at 0.41 eV/atom. Its space group is C2/m. The crystal system is monoclinic.

a b c (Å): 4.806 4.806 4.613
angles (deg): 102.58 102.58 36.82
Fractional coordinates of all 4 atoms:
Cr: 0.245 0.245 0.177
Cr: 0.755 0.755 0.823
Te: 0.000 0.000 0.500
Ru: 0.500 0.500 0.000

***

[6]
This record from Alexandria describes a relaxed structure of Ac2Fe2B2C. The functional is PBE.

Summary:
Its space group is C2/m. Its energy relative to the elements is -163.6 meV per atom. The crystal system is monoclinic.

a b c (Å): 5.580 5.580 7.122
angles (deg): 122.50 122.50 39.51
Fractional coordinates of all 7 atoms:
Ac: 0.062 0.062 0.315
Ac: 0.938 0.938 0.685
Fe: 0.305 0.305 0.925
Fe: 0.695 0.695 0.075
B: 0.282 0.282 0.187
B: 0.718 0.718 0.813
C: 0.500 0.500 0.000

***

[7]
This record from Alexandria describes a relaxed structure of NaIn7Hg12. The functional is PBE.

Summary:
Its space group is Im-3. Its energy relative to the elements is 93.4 meV per atom. The energy above the most stable polymorph in this dataset is 2.08 eV/f.u. The crystal system is cubic.

a b c (Å): 9.444 9.444 9.444
angles (deg): 109.47 109.47 109.47
Fractional coordinates of all 20 atoms:
Na: 0.000 0.000 0.000
In: 0.000 0.000 0.500
In: 0.000 0.500 0.000
In: 0.000 0.500 0.500
In: 0.500 0.000 0.000
In: 0.500 0.000 0.500
In: 0.500 0.500 0.000
In: 0.500 0.500 0.500
Hg: 0.119 0.848 0.271
Hg: 0.152 0.271 0.423
Hg: 0.152 0.729 0.881
Hg: 0.271 0.119 0.848
Hg: 0.271 0.423 0.152
Hg: 0.423 0.152 0.271
Hg: 0.577 0.848 0.729
Hg: 0.729 0.577 0.848
Hg: 0.729 0.881 0.152
Hg: 0.848 0.271 0.119
Hg: 0.848 0.729 0.577
Hg: 0.881 0.152 0.729

***

[8]
This record from Alexandria describes a relaxed structure of NaY2Np3N6. The functional is PBE.

Summary:
The calculation puts the uncorrected formation energy at -1.19 eV/atom. Its space group is C2/m. The crystal system is monoclinic.

a b c (Å): 7.711 7.711 6.955
angles (deg): 102.70 102.70 26.04
Fractional coordinates of all 12 atoms:
Na: 0.000 0.000 0.000
Y: 0.333 0.333 0.669
Y: 0.667 0.667 0.331
Np: 0.000 0.000 0.500
Np: 0.336 0.336 0.165
Np: 0.664 0.664 0.835
N: 0.165 0.165 0.587
N: 0.179 0.179 0.080
N: 0.496 0.496 0.288
N: 0.504 0.504 0.712
N: 0.821 0.821 0.920
N: 0.835 0.835 0.413

***

[9]
This record from Alexandria describes a relaxed structure of Ce3UTl4Se8. The functional is PBE.

Summary:
The calculation puts the uncorrected formation energy at -1.21 eV/atom. Its space group is R-3m. The crystal system is trigonal.

a b c (Å): 9.223 9.223 9.223
angles (deg): 55.56 55.56 55.56
Fractional coordinates of all 16 atoms:
Ce: 0.000 0.500 0.500
Ce: 0.500 0.000 0.500
Ce: 0.500 0.500 0.000
U: 0.000 0.000 0.000
Tl: 0.000 0.000 0.500
Tl: 0.000 0.500 0.000
Tl: 0.500 0.000 0.000
Tl: 0.500 0.500 0.500
Se: 0.232 0.232 0.743
Se: 0.232 0.743 0.232
Se: 0.257 0.768 0.768
Se: 0.264 0.264 0.264
Se: 0.736 0.736 0.736
Se: 0.743 0.232 0.232
Se: 0.768 0.257 0.768
Se: 0.768 0.768 0.257

***

[10]
This record from Alexandria describes a relaxed structure of NdTmSO2. The functional is PBE.

Summary:
The calculation puts the uncorrected formation energy at -3.09 eV/atom. Its space group is P2_1/m. The crystal system is monoclinic.

a b c (Å): 6.480 4.053 7.601
angles (deg): 90.00 110.04 90.00
Fractional coordinates of all 10 atoms:
Nd: 0.197 0.250 0.434
Nd: 0.803 0.750 0.566
Tm: 0.176 0.250 0.929
Tm: 0.824 0.750 0.071
S: 0.461 0.750 0.744
S: 0.539 0.250 0.256
O: 0.014 0.750 0.368
O: 0.026 0.750 0.893
O: 0.974 0.250 0.107
O: 0.986 0.250 0.632

***

[11]
This record from Alexandria describes a relaxed structure of Ac2PPb. The functional is PBE.

Summary:
Its space group is Fm-3m. Its energy relative to the elements is -556.5 meV per atom. The energy above the most stable polymorph in this dataset is 1.56 eV/f.u. The crystal system is cubic.

a b c (Å): 5.646 5.646 5.646
angles (deg): 60.00 60.00 60.00
Fractional coordinates of all 4 atoms:
Ac: 0.250 0.250 0.250
Ac: 0.750 0.750 0.750
P: 0.000 0.000 0.000
Pb: 0.500 0.500 0.500

***

[12]
This record from Alexandria describes a relaxed structure of AcBP2. The functional is PBE.

Summary:
Its space group is R-3m. Its energy relative to the elements is -433.6 meV per atom. The energy above the most stable polymorph in this dataset is 0.00 eV/f.u. The crystal system is trigonal.

a b c (Å): 6.857 6.857 6.857
angles (deg): 41.34 41.34 41.34
Fractional coordinates of all 4 atoms:
Ac: 0.000 0.000 0.000
B: 0.500 0.500 0.500
P: 0.406 0.406 0.406
P: 0.594 0.594 0.594